First-principles (GGA-PBE) data for crystalline Sc8Al2Pt at its relaxed geometry, as listed in the Alexandria database.

The crystal system is monoclinic. The calculation puts the mass density at 4.24 g/cm³. Its total DFT energy (no corrections) is -6.23 eV per atom.

```
data_Sc8Al2Pt
_space_group_name_H-M_alt 'C 1 2/m 1'
_space_group_IT_number 12
_cell_length_a 15.934
_cell_length_b 4.897
_cell_length_c 6.645
_cell_angle_alpha 90.00
_cell_angle_beta 113.30
_cell_angle_gamma 90.00
loop_
_space_group_symop_operation_xyz
'x,y,z'
'-x,-y,-z'
'-x,y,-z'
'x,-y,z'
'x+1/2,y+1/2,z'
'-x+1/2,-y+1/2,-z'
'-x+1/2,y+1/2,-z'
'x+1/2,-y+1/2,z'
loop_
_atom_site_label
_atom_site_fract_x
_atom_site_fract_y
_atom_site_fract_z
Sc1 0.009 0.000 0.260
Sc2 0.112 0.500 0.922
Sc3 0.151 0.500 0.413
Sc4 0.189 0.000 0.740
Al1 0.182 0.000 0.180
Pt1 0.000 0.500 0.500
```